1.
Here is SrInC3 after structural relaxation from Alexandria. Energies are from PBEsol.

The value obtained for the distance to the lowest polymorph of the same formula is 0 meV per atom. The value obtained for the energy of formation from the pure elements is 2207 meV/atom.

The space group is Pm-3m (No. 221) and the conventional cell measures 4.3708, 4.3708 and 4.3708 Å, with angles of 90.00, 90.00 and 90.00 degrees. The inequivalent atoms are Sr at (0.0000, 0.0000, 0.0000), In at (0.5000, 0.5000, 0.5000) and C at (0.0000, 0.5000, 0.5000).


2.
Here is SrInC3 after structural relaxation from Alexandria. Energies are from PBEsol.

The value obtained for the distance to the lowest polymorph of the same formula is 1137 meV per atom. The value obtained for the energy of formation from the pure elements is 3345 meV/atom.

The space group is Pm-3m (No. 221) and the conventional cell measures 4.5978, 4.5978 and 4.5978 Å, with angles of 90.00, 90.00 and 90.00 degrees. The inequivalent atoms are Sr at (0.0000, 0.0000, 0.0000), In at (0.5000, 0.5000, 0.5000) and C at (0.0000, 0.0000, 0.5000).


3.
Here is Ta2InC after structural relaxation from Alexandria. Energies are from PBEsol.

The value obtained for the energy of formation from the pure elements is -456 meV/atom.

The space group is P6_3/mmc (No. 194) and the conventional cell measures 3.1387, 3.1387 and 14.3383 Å, with angles of 90.00, 90.00 and 120.00 degrees. The inequivalent atoms are Ta at (0.3333, 0.6667, 0.0834), In at (0.3333, 0.6667, 0.7500) and C at (0.0000, 0.0000, 0.0000).


4.
Here is InTe2C2 after structural relaxation from Alexandria. Energies are from PBEsol.

The formation energy (no corrections) is 7.27 eV/f.u.

The space group is P4/mbm (No. 127) and the conventional cell measures 7.7673, 7.7673 and 3.2863 Å, with angles of 90.00, 90.00 and 90.00 degrees. The inequivalent atoms are In at (0.0000, 0.0000, 0.0000), Te at (0.1564, 0.3436, 0.5000) and C at (0.2206, 0.7206, 0.0000).


5.
Here is InTe3C after structural relaxation from Alexandria. Energies are from PBEsol.

The formation energy (no corrections) is 3.74 eV/f.u.

The space group is Pm-3m (No. 221) and the conventional cell measures 4.8158, 4.8158 and 4.8158 Å, with angles of 90.00, 90.00 and 90.00 degrees. The inequivalent atoms are In at (0.0000, 0.0000, 0.0000), Te at (0.0000, 0.5000, 0.5000) and C at (0.5000, 0.5000, 0.5000).


6.
Here is Ti3InC after structural relaxation from Alexandria. Energies are from PBEsol.

The value obtained for the energy of formation from the pure elements is -610 meV/atom.

The space group is Pm-3m (No. 221) and the conventional cell measures 4.2008, 4.2008 and 4.2008 Å, with angles of 90.00, 90.00 and 90.00 degrees. The inequivalent atoms are Ti at (0.0000, 0.0000, 0.5000), In at (0.5000, 0.5000, 0.5000) and C at (0.0000, 0.0000, 0.0000).


7.
Here is Ti2InC after structural relaxation from Alexandria. Energies are from PBEsol.

The value obtained for the energy of formation from the pure elements is -742 meV/atom.

The space group is P6_3/mmc (No. 194) and the conventional cell measures 3.1094, 3.1094 and 14.0321 Å, with angles of 90.00, 90.00 and 120.00 degrees. The inequivalent atoms are Ti at (0.3333, 0.6667, 0.0788), In at (0.3333, 0.6667, 0.7500) and C at (0.0000, 0.0000, 0.0000).


8.
Here is InW3C after structural relaxation from Alexandria. Energies are from PBEsol.

The value obtained for the energy of formation from the pure elements is 376 meV/atom.

The space group is Pm-3m (No. 221) and the conventional cell measures 4.1874, 4.1874 and 4.1874 Å, with angles of 90.00, 90.00 and 90.00 degrees. The inequivalent atoms are In at (0.0000, 0.0000, 0.0000), W at (0.0000, 0.5000, 0.5000) and C at (0.5000, 0.5000, 0.5000).


9.
Here is InWC2 after structural relaxation from Alexandria. Energies are from PBEsol.

The value obtained for the energy of formation from the pure elements is 775 meV/atom.

The space group is I-42d (No. 122) and the conventional cell measures 4.9662, 4.9662 and 9.5178 Å, with angles of 90.00, 90.00 and 90.00 degrees. The inequivalent atoms are In at (0.0000, 0.0000, 0.0000), W at (0.0000, 0.0000, 0.5000) and C at (0.2026, 0.2500, 0.6250).


10.
Here is Y3InC after structural relaxation from Alexandria. Energies are from PBEsol.

The value obtained for the energy of formation from the pure elements is -590 meV/atom.

The space group is Pm-3m (No. 221) and the conventional cell measures 4.8651, 4.8651 and 4.8651 Å, with angles of 90.00, 90.00 and 90.00 degrees. The inequivalent atoms are Y at (0.0000, 0.0000, 0.5000), In at (0.5000, 0.5000, 0.5000) and C at (0.0000, 0.0000, 0.0000).


11.
Here is ZnIn3C after structural relaxation from Alexandria. Energies are from PBEsol.

The value obtained for the energy of formation from the pure elements is 841 meV/atom.

The space group is Pm-3m (No. 221) and the conventional cell measures 4.6852, 4.6852 and 4.6852 Å, with angles of 90.00, 90.00 and 90.00 degrees. The inequivalent atoms are Zn at (0.0000, 0.0000, 0.0000), In at (0.0000, 0.5000, 0.5000) and C at (0.5000, 0.5000, 0.5000).


12.
Here is IrC5 after structural relaxation from Alexandria. Energies are from PBEsol.

The value obtained for the distance to the lowest polymorph of the same formula is 0 meV per atom. The value obtained for the energy of formation from the pure elements is 865 meV/atom.

The space group is Cm (No. 8) and the conventional cell measures 6.8318, 2.6889 and 5.4766 Å, with angles of 90.00, 91.95 and 90.00 degrees. The inequivalent atoms are Ir at (0.0000, 0.0000, 0.0000), C at (0.1048, 0.5000, 0.2651), C at (0.2701, 0.0000, 0.8555), C at (0.3197, 0.5000, 0.3168), C at (0.4073, 0.0000, 0.6912) and C at (0.4198, 0.0000, 0.4250).


13.
Here is Ir4C3 after structural relaxation from Alexandria. Energies are from PBEsol.

The value obtained for the distance to the lowest polymorph of the same formula is 0 meV per atom. The value obtained for the energy of formation from the pure elements is 1099 meV/atom.

The space group is Pm-3m (No. 221) and the conventional cell measures 4.2683, 4.2683 and 4.2683 Å, with angles of 90.00, 90.00 and 90.00 degrees. The inequivalent atoms are Ir at (0.0000, 0.0000, 0.0000), Ir at (0.0000, 0.5000, 0.5000) and C at (0.0000, 0.0000, 0.5000).


14.
Here is Ir4C3 after structural relaxation from Alexandria. Energies are from PBEsol.

The value obtained for the distance to the lowest polymorph of the same formula is 987 meV per atom. The value obtained for the energy of formation from the pure elements is 2086 meV/atom.

The space group is P6/mmm (No. 191) and the conventional cell measures 4.0261, 4.0261 and 5.8619 Å, with angles of 90.00, 90.00 and 120.00 degrees. The inequivalent atoms are Ir at (0.0000, 0.0000, 0.2231), Ir at (0.3333, 0.6667, 0.5000) and C at (0.0000, 0.5000, 0.0000).


no.,ρ (g/cm³),total moment (Bohr magnetons per cell),E_tot (eV per atom)
1,4.742,0.00,-4.54
2,4.074,1.05,-3.41
3,13.268,0.00,-9.89
4,6.600,0.00,-4.41
5,7.577,0.00,-3.89
6,6.058,0.00,-8.13
7,6.291,0.00,-8.06
8,15.341,0.00,-10.43
9,9.131,0.00,-8.24
10,5.675,0.00,-7.21
11,6.812,0.00,-3.19
12,8.332,0.00,-8.81
13,17.188,0.00,-8.65
14,16.243,0.00,-7.66